SmHgPdRh: relaxed, PBE-GGA.

Geometry as POSCAR:
```
SmHgPdRh
1.0
0.000 3.394 3.394
3.394 0.000 3.394
3.394 3.394 0.000
Sm Hg Pd Rh
1 1 1 1
direct
0.000 0.000 0.000
0.500 0.500 0.500
0.750 0.750 0.750
0.250 0.250 0.250
```

Output
Fermi-level density of states = 1.93 states/eV/f.u.
space group = F-43m
energy = -4.925 eV per atom
energy relative to the elements = -0.534 eV/atom
magnetic moment = 0.0 μB per cell